[1]
This record from Alexandria via LeMat-Bulk describes crystalline LaHf2Sc at its relaxed geometry. The functional is PBE.

Structure (CIF):
```
data_LaHf2Sc
_space_group_name_H-M_alt 'F m -3 m'
_space_group_IT_number 225
_space_group_name_Hall '-F 4 2 3'
_cell_length_a 7.390
_cell_length_b 7.390
_cell_length_c 7.390
_cell_angle_alpha 90.00
_cell_angle_beta 90.00
_cell_angle_gamma 90.00
loop_
_atom_site_label
_atom_site_fract_x
_atom_site_fract_y
_atom_site_fract_z
_atom_site_occupancy
La1 0.000 0.000 0.000 1
Hf1 0.250 0.250 0.250 1
Sc1 0.000 0.000 0.500 1
```

Energy of formation from the pure elements in eV/atom: 0.3686
Volume in Å³/cell: 404
Crystal system: cubic
Offset from the most stable computed form in meV/atom: 106


[2]
This record from Alexandria via LeMat-Bulk describes crystalline AlCuSCl2 at its relaxed geometry. The functional is PBE.

Structure (CIF):
```
data_AlCuSCl2
_space_group_name_H-M_alt 'P 4/m m m'
_space_group_IT_number 123
_space_group_name_Hall '-P 4 2'
_cell_length_a 4.609
_cell_length_b 4.609
_cell_length_c 4.798
_cell_angle_alpha 90.00
_cell_angle_beta 90.00
_cell_angle_gamma 90.00
loop_
_atom_site_label
_atom_site_fract_x
_atom_site_fract_y
_atom_site_fract_z
_atom_site_occupancy
Al1 0.000 0.000 0.000 1
Cu1 0.500 0.500 0.500 1
S1 0.000 0.000 0.500 1
Cl1 0.000 0.500 0.000 1
```

Volume in Å³/cell: 102
Formation energy (no corrections) in meV per atom: -278
Crystal system: tetragonal
Offset from the most stable computed form in meV/atom: 0